(1)
DFT (PBE-GGA) results for an optimized crystal structure of MoPRu3.

Results
Spin magnetization, μB per formula unit: 1.30
D(E_F), states/eV/atom: 1.38
E_form, meV per atom: 1848
ΔE to the lowest computed polymorph, eV/atom: 1.271

a b c (Å): 4.642 4.642 4.642
angles (deg): 90.00 90.00 90.00
Each line ends with the local moment (μB).
Element x y z (fractional)
Ru 0.000 0.500 0.000  0.56
Ru 0.000 0.000 0.500  0.51
Ru 0.500 0.000 0.000  0.36
Mo 0.000 0.000 0.000  -0.15
P 0.500 0.500 0.500  0.00


(2)
DFT (PBE-GGA) results for an optimized crystal structure of MoPRu2.

Results
Spin magnetization, μB per formula unit: 0.00
D(E_F), states/eV/atom: 1.03
E_form, meV per atom: -5

a b c (Å): 4.729 4.729 4.470
angles (deg): 88.09 88.09 34.57
Element x y z (fractional)
Mo 0.500 0.500 0.000
P 0.000 0.000 0.500
Ru 0.233 0.233 0.751
Ru 0.767 0.767 0.249